1.
{"formula": "CaErAg4", "functional": "GGA-PBE", "state": "optimized geometry", "formation_enthalpy_0k_ev_per_atom": -0.178, "space_group": "F-43m", "cell": [[-1.2182, -3.4896, -4.3663], [0.2810, -5.6700, 0.7056], [-4.7983, -3.1137, 0.0798]], "species": ["Ca", "Ag", "Ag", "Ag", "Ag", "Er"], "frac_coords": [[0.2500, 0.2500, 0.2500], [0.6249, 0.6249, 0.1253], [0.6249, 0.1253, 0.6249], [0.6249, 0.6249, 0.6249], [0.1253, 0.6249, 0.6249], [0.0000, 0.0000, 0.0000]]}



2.
{"formula": "CaErGaAg", "functional": "GGA-PBE", "state": "optimized geometry", "formation_enthalpy_0k_ev_per_atom": -0.426, "space_group": "P4mm", "cell": [[3.6261, 0.0000, 0.0000], [0.0000, 3.6261, 0.0000], [0.0000, 0.0000, 7.2991]], "species": ["Ca", "Er", "Ga", "Ag"], "frac_coords": [[0.0000, 0.0000, 0.8532], [0.0000, 0.0000, 0.3599], [0.5000, 0.5000, 0.5875], [0.5000, 0.5000, 0.1275]]}



3.
{"formula": "CaErGaAg", "functional": "GGA-PBE", "state": "optimized geometry", "formation_enthalpy_0k_ev_per_atom": -0.411, "space_group": "F-43m", "cell": [[5.1199, 0.0000, 0.0000], [2.5600, 4.4340, 0.0000], [2.5600, 1.4780, 4.1804]], "species": ["Ca", "Ga", "Ag", "Er"], "frac_coords": [[0.5000, 0.5000, 0.5000], [0.2500, 0.2500, 0.2500], [0.7500, 0.7500, 0.7500], [0.0000, 0.0000, 0.0000]]}



Calculated density values (in g cm⁻³) by entry order: 8.01, 6.66, 6.74.